VASP calculation (PBE) on a relaxed RbTbCoCl6 crystal.

Unit cell a=6.6904 b=6.7051 c=7.3793 alpha=89.90 beta=89.81 gamma=60.07
Each line ends with the local moment (μB).
Element x y z (fractional)
Cl  0.3684  0.0218  0.7013  0.05
Cl  0.6097  0.0218  0.2986  0.05
Cl  0.0225  0.6156  0.6976  0.06
Cl  0.3619  0.6156  0.3024  0.06
Cl  0.0218  0.3617  0.3024  0.05
Cl  0.6165  0.3616  0.6976  0.05
Co  0.3329  0.3340  0.5000  2.52
Tb  0.6661  0.6677  0.5000  0.00
Rb  0.9998  0.0003  0.0000  0.00

SG   C2
Crystal system   monoclinic
Total magnetization   3.0 μB per formula unit
ΔE_f (raw)   -1.6428 eV/atom